# 1
Material: LiV2Ni
Method: DFT, PBE
State: optimized geometry

Cell: 4.159 4.159 4.159 Å, 60.00 60.00 60.00°
Element x y z (fractional)
Li1 0.000 0.000 0.000
V1 0.250 0.250 0.250
V2 0.750 0.750 0.750
Ni1 0.500 0.500 0.500

Computed properties:
- DFT formation energy (eV/atom) = 0.3214
- volume (Å³/f.u.) = 50.9
- offset from the most stable computed form (meV per atom) = 0
- total magnetization (μB/atom) = 0.8423

# 2
Material: LiVNi4
Method: DFT, PBE
State: optimized geometry

Cell: 4.654 4.654 4.654 Å, 60.00 60.00 60.00°
Element x y z (fractional)
Li1 0.000 0.000 0.000
V1 0.250 0.250 0.250
Ni1 0.124 0.625 0.625
Ni2 0.625 0.124 0.625
Ni3 0.625 0.625 0.124
Ni4 0.625 0.625 0.625

Computed properties:
- DFT formation energy (eV/atom) = -0.0177
- volume (Å³/f.u.) = 71.3
- offset from the most stable computed form (meV per atom) = 11
- total magnetization (μB/atom) = 0.0000

# 3
Material: Li2VNi5
Method: DFT, PBE
State: optimized geometry

Cell: 7.544 7.544 7.544 Å, 152.34 152.34 39.52°
Element x y z (fractional)
Li1 0.249 0.249 0.000
Li2 0.751 0.751 0.000
V1 0.500 0.500 0.000
Ni1 0.000 0.000 0.000
Ni2 0.118 0.618 0.500
Ni3 0.382 0.882 0.500
Ni4 0.618 0.118 0.500
Ni5 0.882 0.382 0.500

Computed properties:
- DFT formation energy (eV/atom) = -0.0907
- volume (Å³/f.u.) = 92.4
- total magnetization (μB/atom) = 0.0000